(1)
Density functional theory data (PBE-GGA) for a geometry-optimized LiPr2TeO6 structure.

Results
- E_tot (eV per atom) = -6.724
- raw formation energy (eV per atom) = -2.29
- theoretical density (kg/m3) = 6188

abc: 5.8169 5.8169 14.0757
angles: 90.00 90.00 120.00
Space group R3 (No. 146, hexagonal axes)
One atom of each set of equivalent atoms:
Li 0.0000 0.0000 0.0000
Pr 0.0000 0.0000 0.2632
Pr 0.0000 0.0000 0.7676
Te 0.0000 0.0000 0.4953
O 0.0751 0.3445 0.5678
O 0.0867 0.7203 0.0715

=====

(2)
Density functional theory data (PBE-GGA) for a geometry-optimized Li2Pr2TiO6 structure.

Results
- E_tot (eV per atom) = -7.306
- raw formation energy (eV per atom) = -2.67
- theoretical density (kg/m3) = 5405

abc: 5.6512 5.6512 14.6494
angles: 90.00 90.00 120.00
Space group R-3m (No. 166, hexagonal axes)
One atom of each set of equivalent atoms:
Li 0.0000 0.0000 0.0715
Pr 0.0000 0.0000 0.2837
Ti 0.0000 0.0000 0.5000
O 0.0260 0.5130 0.2529

=====

(3)
Density functional theory data (PBE-GGA) for a geometry-optimized LiPr2TiO5 structure.

Results
- E_tot (eV per atom) = -7.602
- raw formation energy (eV per atom) = -2.70
- theoretical density (kg/m3) = 5066

abc: 6.839 6.839 5.839
angles: 90.00 90.00 90.00
Space group P4/mbm (No. 127)
One atom of each set of equivalent atoms:
Li 0.000 0.000 0.000
Pr 0.178 0.322 0.500
Ti 0.000 0.500 0.000
O 0.000 0.000 0.500
O 0.134 0.634 0.241

=====

(4)
Density functional theory data (PBE-GGA) for a geometry-optimized LiPr2TlO structure.

Results
- E_tot (eV per atom) = -5.064
- raw formation energy (eV per atom) = -1.30
- theoretical density (kg/m3) = 7533

abc: 5.044 5.044 4.412
angles: 90.00 90.00 90.00
Space group P4/mmm (No. 123)
One atom of each set of equivalent atoms:
Li 0.000 0.000 0.000
Pr 0.000 0.500 0.500
Tl 0.500 0.500 0.000
O 0.000 0.000 0.500

=====

(5)
Density functional theory data (PBE-GGA) for a geometry-optimized Li2PrUO6 structure.

Results
- E_tot (eV per atom) = -7.579
- raw formation energy (eV per atom) = -2.61
- theoretical density (kg/m3) = 6155

abc: 5.636 5.680 9.932
angles: 90.00 123.95 90.00
Space group P2_1/c (No. 14)
One atom of each set of equivalent atoms:
Li 0.211 0.015 0.242
Pr 0.000 0.000 0.500
U 0.500 0.000 0.000
O 0.144 0.107 0.772
O 0.244 0.634 0.566
O 0.460 0.175 0.583

=====

(6)
Density functional theory data (PBE-GGA) for a geometry-optimized LiPrUO5 structure.

Results
- E_tot (eV per atom) = -8.370
- raw formation energy (eV per atom) = -3.02
- theoretical density (kg/m3) = 6320

abc: 7.165 9.553 7.923
angles: 90.00 115.46 90.00
Space group C2/c (No. 15)
One atom of each set of equivalent atoms:
Li 0.000 0.065 0.250
Pr 0.000 0.427 0.250
U 0.250 0.250 0.000
O 0.000 0.325 0.750
O 0.045 0.214 0.102
O 0.236 0.460 0.083

=====

> Among the records above, which one has the highest theoretical density?

LiPr2TlO

=====

> Which value of raw formation energy does entry 3 give?

-2.70 eV per atom